Here is a geometry-optimized Zr3FeCu2S8 structure from the Alexandria database. Energies are from PBE-GGA.

Results
formation energy (no corrections) = -14.51 eV/f.u.
SG = R-3m (166)

abc: 7.193 7.193 7.193
angles: 61.12 61.12 61.12
Each line ends with the local moment (μB).
Fractional coordinates of all 14 atoms:
Zr 0.000 0.500 0.500  -0.02
Zr 0.500 0.500 0.000  -0.02
Zr 0.500 0.000 0.500  -0.02
Fe 0.500 0.500 0.500  0.20
Cu 0.121 0.121 0.121  0.00
Cu 0.879 0.879 0.879  0.00
S 0.749 0.749 0.749  0.00
S 0.264 0.735 0.735  0.00
S 0.735 0.735 0.264  0.00
S 0.735 0.264 0.735  0.00
S 0.251 0.251 0.251  0.00
S 0.736 0.265 0.265  0.00
S 0.265 0.265 0.736  0.00
S 0.265 0.736 0.265  0.00

=====

Here is a geometry-optimized Fe2CuSb structure from the Alexandria database. Energies are from PBE-GGA.

Results
formation energy (no corrections) = 0.86 eV/f.u.
SG = F-43m (216)

abc: 4.293 4.293 4.293
angles: 60.00 60.00 60.00
Each line ends with the local moment (μB).
Fractional coordinates of all 4 atoms:
Cu 0.500 0.500 0.500  0.00
Fe 0.000 0.000 0.000  1.86
Fe 0.250 0.250 0.250  2.58
Sb 0.750 0.750 0.750  -0.02

=====

Here is a geometry-optimized FeCu2Sb structure from the Alexandria database. Energies are from PBE-GGA.

Results
formation energy (no corrections) = 0.88 eV/f.u.
SG = F-43m (216)

abc: 4.340 4.340 4.340
angles: 60.00 60.00 60.00
Each line ends with the local moment (μB).
Fractional coordinates of all 4 atoms:
Cu 0.000 0.000 0.000  0.03
Cu 0.250 0.250 0.250  0.06
Fe 0.500 0.500 0.500  2.11
Sb 0.750 0.750 0.750  -0.02

=====

Here is a geometry-optimized Fe2CuSb structure from the Alexandria database. Energies are from PBE-GGA.

Results
formation energy (no corrections) = 1.82 eV/f.u.
SG = I-42d (122)

abc: 3.697 3.697 9.517
angles: 78.80 78.80 90.00
Each line ends with the local moment (μB).
Fractional coordinates of all 8 atoms:
Sb 0.000 0.000 0.000  -0.03
Sb 0.750 0.250 0.500  -0.03
Fe 0.617 0.125 0.250  2.46
Fe 0.133 0.625 0.250  2.45
Fe 0.375 0.383 0.750  2.46
Fe 0.875 0.867 0.750  2.45
Cu 0.500 0.500 0.000  0.02
Cu 0.250 0.750 0.500  0.02

=====

Here is a geometry-optimized FeCu2Sb structure from the Alexandria database. Energies are from PBE-GGA.

Results
formation energy (no corrections) = 0.96 eV/f.u.
SG = I4/mmm (139)

abc: 4.877 4.877 4.877
angles: 134.45 134.45 66.39
Each line ends with the local moment (μB).
Fractional coordinates of all 4 atoms:
Cu 0.000 0.000 0.000  0.01
Cu 0.500 0.500 0.000  0.01
Fe 0.250 0.750 0.500  2.32
Sb 0.750 0.250 0.500  -0.01

=====

Here is a geometry-optimized FeCu2Sb structure from the Alexandria database. Energies are from PBE-GGA.

Results
formation energy (no corrections) = 0.96 eV/f.u.
SG = P4mm (99)

abc: 3.270 3.270 5.506
angles: 90.00 90.00 90.00
Each line ends with the local moment (μB).
Fractional coordinates of all 4 atoms:
Cu 0.000 0.000 0.037  0.00
Cu 0.500 0.500 0.237  0.01
Fe 0.000 0.000 0.496  2.05
Sb 0.500 0.500 0.731  -0.08

=====

Here is a geometry-optimized FeCuSb6 structure from the Alexandria database. Energies are from PBE-GGA.

Results
formation energy (no corrections) = -0.01 eV/f.u.
SG = C2/m (12)

abc: 8.006 8.006 8.066
angles: 109.07 109.51 109.53
Fractional coordinates of all 16 atoms:
Fe 0.000 0.000 0.500
Fe 0.500 0.500 0.500
Cu 0.000 0.500 0.000
Cu 0.500 0.000 0.000
Sb 0.158 0.650 0.808
Sb 0.842 0.350 0.192
Sb 0.842 0.674 0.517
Sb 0.158 0.326 0.483
Sb 0.821 0.150 0.653
Sb 0.179 0.850 0.347
Sb 0.503 0.832 0.653
Sb 0.497 0.168 0.347
Sb 0.673 0.820 0.167
Sb 0.327 0.180 0.833
Sb 0.653 0.506 0.833
Sb 0.347 0.494 0.167

=====

Here is a geometry-optimized FeCu3Sb structure from the Alexandria database. Energies are from PBE-GGA.

Results
formation energy (no corrections) = 4.26 eV/f.u.
SG = Pm-3m (221)

abc: 4.490 4.490 4.490
angles: 90.00 90.00 90.00
Each line ends with the local moment (μB).
Fractional coordinates of all 5 atoms:
Sb 0.500 0.500 0.500  0.01
Fe 0.000 0.000 0.000  2.53
Cu 0.000 0.500 0.000  0.08
Cu 0.000 0.000 0.500  0.19
Cu 0.500 0.000 0.000  0.02